Pm2Ni4GeSb3: relaxed, PBE-GGA.

The electronic total energy comes out at -5.62 eV/atom. The space group is P-4m2, No. 115. The value obtained for the density is 8.38 g/cm3. Its energy relative to the elements, uncorrected is -0.66 eV per atom.

```
Pm2Ni4GeSb3
1.0
-0.7727 -1.1587 4.1377
-2.6795 -3.1567 -1.3843
7.7009 -6.3834 -0.3495
Sb Pm Ni Ge
3 2 4 1
Direct
0.0000 0.5000 0.1315 Sb
0.5000 0.0000 0.8685 Sb
0.0000 0.0000 0.5000 Sb
0.0000 0.5000 0.7500 Pm
0.5000 0.0000 0.2500 Pm
0.0000 0.0000 0.0000 Ni
0.0000 0.5000 0.3820 Ni
0.5000 0.0000 0.6180 Ni
0.5000 0.5000 0.0000 Ni
0.5000 0.5000 0.5000 Ge
```



Pm2Ni4Ge3Sb: relaxed, PBE-GGA.

The electronic total energy comes out at -5.71 eV/atom. The space group is P-4m2, No. 115. The value obtained for the density is 8.18 g/cm3. Its energy relative to the elements, uncorrected is -0.65 eV per atom.

```
Pm2Ni4Ge3Sb
1.0
-1.1530 2.8263 -2.9278
1.8711 -2.3341 -2.9900
-8.3793 -4.8934 -1.4237
Ge Ni Pm Sb
3 4 2 1
Direct
0.5000 0.0000 0.8779 Ge
0.0000 0.0000 0.5000 Ge
0.0000 0.5000 0.1221 Ge
0.0000 0.0000 0.0000 Ni
0.5000 0.0000 0.6353 Ni
0.0000 0.5000 0.3647 Ni
0.5000 0.5000 0.0000 Ni
0.5000 0.0000 0.2359 Pm
0.0000 0.5000 0.7641 Pm
0.5000 0.5000 0.5000 Sb
```



PmScNiGe: relaxed, PBE-GGA.

The electronic total energy comes out at -5.86 eV/atom. The space group is F-43m, No. 216. The energy relative to the elements comes out at -47.0 kJ/mol of atoms. The value obtained for the density is 6.58 g/cm3.

```
PmScNiGe
1.0
-4.4155 -0.8866 1.8236
-0.4536 -1.9390 4.4321
-1.6994 2.6950 3.6685
Sc Ni Ge Pm
1 1 1 1
Direct
0.0000 0.0000 0.0000 Sc
0.7500 0.7500 0.7500 Ni
0.2500 0.2500 0.2500 Ge
0.5000 0.5000 0.5000 Pm
```



Pm2Si4Ni3Ge: relaxed, PBE-GGA.

The electronic total energy comes out at -6.02 eV/atom. The space group is P-4m2, No. 115. The value obtained for the density is 6.71 g/cm3. Its energy relative to the elements, uncorrected is -0.70 eV per atom.

```
Pm2Si4Ni3Ge
1.0
-0.4356 -2.3352 3.2987
-1.6645 -2.9197 -2.2867
8.8324 -3.8269 -1.5427
Si Ge Ni Pm
4 1 3 2
Direct
0.0000 0.5000 0.3530 Si
0.5000 0.5000 0.0000 Si
0.5000 0.0000 0.6470 Si
0.0000 0.0000 0.0000 Si
0.5000 0.5000 0.5000 Ge
0.0000 0.0000 0.5000 Ni
0.0000 0.5000 0.1182 Ni
0.5000 0.0000 0.8818 Ni
0.5000 0.0000 0.2423 Pm
0.0000 0.5000 0.7577 Pm
```



Pm2SiNi4Ge3: relaxed, PBE-GGA.

The electronic total energy comes out at -5.92 eV/atom. The space group is P-4m2, No. 115. The value obtained for the density is 7.82 g/cm3. Its energy relative to the elements, uncorrected is -0.73 eV per atom.

```
Pm2SiNi4Ge3
1.0
-2.7721 0.1933 -3.0357
-2.8551 -1.5821 2.5064
-2.4640 8.9100 2.8175
Ge Si Ni Pm
3 1 4 2
Direct
0.0000 0.0000 0.5000 Ge
0.5000 0.0000 0.8700 Ge
0.0000 0.5000 0.1300 Ge
0.5000 0.5000 0.5000 Si
0.0000 0.0000 0.0000 Ni
0.5000 0.0000 0.6206 Ni
0.0000 0.5000 0.3794 Ni
0.5000 0.5000 0.0000 Ni
0.5000 0.0000 0.2514 Pm
0.0000 0.5000 0.7486 Pm
```



Pm2SiNi6Ge: relaxed, PBE-GGA.

The electronic total energy comes out at -5.84 eV/atom. The space group is P-1, No. 2. The value obtained for the density is 7.47 g/cm3. Its energy relative to the elements, uncorrected is -0.42 eV per atom.

```
Pm2SiNi6Ge
1.0
6.2508 0.0148 -0.1267
0.0056 6.0673 -0.0179
3.0371 3.0232 4.2827
Si Ni Pm Ge
1 6 2 1
Direct
0.0000 0.0000 0.0000 Si
0.1445 0.2433 0.1037 Ni
0.1403 0.6492 0.1026 Ni
0.1430 0.2468 0.5086 Ni
0.8570 0.7532 0.4914 Ni
0.8555 0.7567 0.8963 Ni
0.8597 0.3508 0.8974 Ni
0.3478 0.7823 0.4346 Pm
0.6522 0.2177 0.5654 Pm
0.5000 0.5000 0.0000 Ge
```



PmSmNi2Ge2: relaxed, PBE-GGA.

The electronic total energy comes out at -5.77 eV/atom. The space group is P-3m1, No. 164. The energy relative to the elements comes out at -69.6 kJ/mol of atoms. The value obtained for the density is 7.74 g/cm3.

```
PmSmNi2Ge2
1.0
-0.4913 2.2307 3.4278
-3.1062 -2.3010 -1.4227
2.6146 -6.2934 4.4703
Ni Ge Sm Pm
2 2 1 1
Direct
0.6667 0.3333 0.2483 Ni
0.3333 0.6667 0.7517 Ni
0.6667 0.3333 0.7512 Ge
0.3333 0.6667 0.2488 Ge
0.0000 0.0000 0.0000 Sm
0.0000 0.0000 0.5000 Pm
```



Pm2Ni3SnGe4: relaxed, PBE-GGA.

The electronic total energy comes out at -5.51 eV/atom. The space group is P-4m2, No. 115. The energy relative to the elements comes out at -55.4 kJ/mol of atoms. The value obtained for the density is 7.98 g/cm3.

```
Pm2Ni3SnGe4
1.0
-2.8338 1.6824 2.5906
1.8331 -1.9138 3.2480
6.1462 8.2281 1.3796
Pm Ge Sn Ni
2 4 1 3
Direct
0.0000 0.5000 0.7689 Pm
0.5000 0.0000 0.2311 Pm
0.0000 0.5000 0.3368 Ge
0.5000 0.5000 0.0000 Ge
0.5000 0.0000 0.6632 Ge
0.0000 0.0000 0.0000 Ge
0.5000 0.5000 0.5000 Sn
0.0000 0.0000 0.5000 Ni
0.5000 0.0000 0.8862 Ni
0.0000 0.5000 0.1138 Ni
```